This record from the Alexandria database describes a relaxed structure of Li2MnCrO4. The functional is GGA+U.

Unit cell a=5.2511 b=5.2511 c=8.2182 alpha=112.99 beta=112.99 gamma=45.99
Sites, in units of the cell vectors:
Li (0.0000, 0.0000, 0.0000)
Li (0.0095, 0.0095, 0.5040)
Li (0.7452, 0.7452, 0.1232)
Li (0.7639, 0.7639, 0.6303)
Mn (0.2527, 0.2527, 0.8767)
Mn (0.2586, 0.2586, 0.3783)
Cr (0.5042, 0.5042, 0.7516)
Cr (0.5072, 0.5072, 0.2533)
O (0.0186, 0.0186, 0.7589)
O (0.0309, 0.0309, 0.2649)
O (0.2739, 0.2739, 0.6277)
O (0.2770, 0.2770, 0.1467)
O (0.4854, 0.4854, 0.4921)
O (0.4890, 0.4890, 0.9945)
O (0.7355, 0.7355, 0.8675)
O (0.7378, 0.7378, 0.3682)

Values from the calculation:
SG: Cm
Raw total energy: -6.74 eV/atom